# 1
The following is a DFT calculation (GGA-PBE) of a relaxed structure of Nd3Sm2DyHo6.

Geometry as POSCAR:
```
Nd3Sm2DyHo6
1.0
-1.893 -1.998 -5.571
6.025 -0.235 1.501
-2.869 -9.934 5.690
Nd Sm Dy Ho
3 2 1 6
Direct
0.167 0.833 0.500
0.833 0.167 0.500
0.500 0.500 0.500
0.334 0.666 0.000
0.666 0.334 0.000
0.000 0.000 0.000
0.917 0.584 0.752
0.750 0.750 0.248
0.083 0.416 0.248
0.584 0.917 0.752
0.250 0.250 0.752
0.416 0.083 0.248
```

- Energy relative to the elements: 0.02 eV/atom

# 2
The following is a DFT calculation (GGA-PBE) of a relaxed structure of Y3Zr.

Geometry as POSCAR:
```
Y3Zr
1.0
6.003 -0.003 0.000
-2.012 5.655 0.000
0.000 0.000 3.446
Y Zr
3 1
Direct
0.000 0.000 0.000
0.000 0.500 0.500
0.500 0.000 0.500
0.500 0.500 0.000
```

- Energy relative to the elements: 0.11 eV/atom
- Offset from the most stable computed form: 39 meV/atom

# 3
The following is a DFT calculation (GGA-PBE) of a relaxed structure of CsCo2CI.

Geometry as POSCAR:
```
CsCo2CI
1.0
-2.120 -3.140 -3.319
5.735 -3.989 0.110
-1.944 -2.691 3.788
Cs I C Co
1 1 1 2
Direct
0.000 0.000 0.000
0.000 0.500 0.000
0.500 0.500 0.500
0.000 0.000 0.500
0.500 0.000 0.000
```

- Formation energy without anion corrections: 15.3 eV/f.u.

# 4
The following is a DFT calculation (GGA-PBE) of a relaxed structure of Nd12AlCu6.

Geometry as POSCAR:
```
Nd12AlCu6
1.0
-8.709 -1.070 -0.701
2.929 -4.338 7.077
1.846 8.566 0.837
Nd Al Cu
12 1 6
Direct
0.296 0.109 0.813
0.296 0.483 0.187
0.704 0.517 0.813
0.704 0.891 0.187
0.109 0.813 0.296
0.483 0.187 0.296
0.517 0.813 0.704
0.891 0.187 0.704
0.813 0.296 0.109
0.187 0.296 0.483
0.813 0.704 0.517
0.187 0.704 0.891
0.000 0.000 0.000
0.378 0.500 0.878
0.622 0.500 0.122
0.500 0.878 0.378
0.500 0.122 0.622
0.878 0.378 0.500
0.122 0.622 0.500
```

- Energy relative to the elements: -0.10 eV/atom

# 5
The following is a DFT calculation (GGA-PBE) of a relaxed structure of RbDyBi2.

Geometry as POSCAR:
```
RbDyBi2
1.0
-4.130 -2.407 -0.901
-2.536 -1.937 3.670
-6.418 5.471 1.675
Bi Rb Dy
2 1 1
Direct
0.274 0.274 0.177
0.726 0.726 0.823
0.500 0.500 0.500
0.000 0.000 0.000
```

- Energy relative to the elements: -0.37 eV/atom
- Offset from the most stable computed form: 132 meV/atom

# 6
The following is a DFT calculation (GGA-PBE) of a relaxed structure of Th6Te3Ir2C.

Geometry as POSCAR:
```
Th6Te3Ir2C
1.0
7.168 0.009 0.006
-3.575 6.213 0.006
-1.192 -2.065 7.528
Th Te Ir C
6 3 2 1
Direct
0.934 0.616 0.804
0.749 0.749 0.203
0.066 0.384 0.196
0.616 0.934 0.804
0.251 0.251 0.797
0.384 0.066 0.196
0.172 0.828 0.500
0.828 0.172 0.500
0.500 0.500 0.500
0.334 0.666 0.000
0.666 0.334 0.000
0.000 0.000 0.000
```

- Formation energy without anion corrections: -11.4 eV/f.u.

# 7
The following is a DFT calculation (GGA-PBE) of a relaxed structure of YPN3.

Geometry as POSCAR:
```
YPN3
1.0
-1.981 -1.004 2.830
-1.796 -2.321 -2.080
2.406 -2.559 0.777
Y P N
1 1 3
Direct
0.500 0.500 0.500
0.000 0.000 0.000
0.000 0.500 0.000
0.000 0.000 0.500
0.500 0.000 0.000
```

- Formation energy without anion corrections: -1.5 eV/f.u.

# 8
The following is a DFT calculation (GGA-PBE) of a relaxed structure of K2Rb4BeBi2.

Geometry as POSCAR:
```
K2Rb4BeBi2
1.0
6.605 0.098 0.067
1.602 8.501 -0.055
1.602 3.070 7.928
K Rb Be Bi
2 4 1 2
Direct
0.223 0.637 0.637
0.777 0.363 0.363
0.241 0.653 0.105
0.759 0.895 0.347
0.759 0.347 0.895
0.241 0.105 0.653
0.500 0.000 0.000
0.256 0.154 0.154
0.744 0.846 0.846
```

- Energy relative to the elements: -0.11 eV/atom